VASP calculation (PBE with a Hubbard U) on a geometry-optimized K4U3MnO12 structure.

```
data_K4U3MnO12
_cell_length_a 7.429
_cell_length_b 7.429
_cell_length_c 7.429
_cell_angle_alpha 109.47
_cell_angle_beta 109.47
_cell_angle_gamma 109.47
_symmetry_space_group_name_H-M 'P 1'
_symmetry_Int_Tables_number 1
loop_
_symmetry_equiv_pos_as_xyz
'x,y,z'
loop_
_atom_site_label
_atom_site_fract_x
_atom_site_fract_y
_atom_site_fract_z
K1 0.000 0.000 0.500
K2 0.000 0.500 0.000
K3 0.500 0.000 0.000
K4 0.500 0.500 0.500
U1 0.000 0.500 0.500
U2 0.500 0.000 0.500
U3 0.500 0.500 0.000
Mn1 0.000 0.000 0.000
O1 0.000 0.268 0.268
O2 0.000 0.732 0.732
O3 0.250 0.500 0.750
O4 0.250 0.750 0.500
O5 0.268 0.000 0.268
O6 0.268 0.268 0.000
O7 0.500 0.250 0.750
O8 0.500 0.750 0.250
O9 0.732 0.000 0.732
O10 0.732 0.732 0.000
O11 0.750 0.250 0.500
O12 0.750 0.500 0.250
```

Properties
Its total DFT energy (no corrections) is -7.952 eV per atom.